Here is a geometry-optimized Np4Pd12Au structure from Alexandria via LeMat-Bulk. Energies are from GGA-PBE.

Output
- M_tot (Bohr magnetons per cell) = 30.315
- uncorrected energy (eV per atom) = -7.233
- energy of formation (eV/atom) = -0.33

Structure (CIF):
```
data_Np4Pd12Au
_cell_length_a 8.584
_cell_length_b 8.584
_cell_length_c 8.584
_cell_angle_alpha 90.00
_cell_angle_beta 90.00
_cell_angle_gamma 90.00
_symmetry_space_group_name_H-M 'I m -3 m'
_symmetry_Int_Tables_number 229
_symmetry_space_group_name_Hall '-I 4 2 3'
loop_
_atom_site_label
_atom_site_fract_x
_atom_site_fract_y
_atom_site_fract_z
_atom_site_occupancy
Np1 0.250 0.250 0.250 1
Pd1 0.000 0.000 0.303 1
Pd2 0.000 0.250 0.500 1
Au1 0.000 0.000 0.000 1
```